(1)
# GGA-PBE CePmMgPd, optimized geometry
# ΔE_f	-0.236	eV per atom
# electronic total energy	-73.67	eV per cell
# magnetic moment	3.489	Bohr magnetons per cell
data_CePmMgPd
_chemical_formula_sum 'Ce4 Pm4 Mg4 Pd4'
_cell_length_a 7.422
_cell_length_b 7.422
_cell_length_c 7.422
_cell_angle_alpha 90.00
_cell_angle_beta 90.00
_cell_angle_gamma 90.00
_symmetry_space_group_name_H-M 'F -4 3 m'
_symmetry_Int_Tables_number 216
_symmetry_space_group_name_Hall 'F -4 2 3'
loop_
_atom_site_label
_atom_site_type_symbol
_atom_site_fract_x
_atom_site_fract_y
_atom_site_fract_z
_atom_site_occupancy
Ce1 Ce 0.000 0.000 0.000 1
Pm1 Pm 0.000 0.000 0.500 1
Mg1 Mg 0.250 0.250 0.250 1
Pd1 Pd 0.250 0.250 0.750 1



(2)
# GGA-PBE CeMgPdRh, optimized geometry
# ΔE_f	-0.625	eV per atom
# electronic total energy	-90.29	eV per cell
# magnetic moment	1.523	Bohr magnetons per cell
data_CeMgPdRh
_chemical_formula_sum 'Ce4 Mg4 Pd4 Rh4'
_cell_length_a 6.759
_cell_length_b 6.759
_cell_length_c 6.759
_cell_angle_alpha 90.00
_cell_angle_beta 90.00
_cell_angle_gamma 90.00
_symmetry_space_group_name_H-M 'F -4 3 m'
_symmetry_Int_Tables_number 216
_symmetry_space_group_name_Hall 'F -4 2 3'
loop_
_atom_site_label
_atom_site_type_symbol
_atom_site_fract_x
_atom_site_fract_y
_atom_site_fract_z
_atom_site_occupancy
Ce1 Ce 0.000 0.000 0.000 1
Mg1 Mg 0.000 0.000 0.500 1
Pd1 Pd 0.250 0.250 0.750 1
Rh1 Rh 0.250 0.250 0.250 1



(3)
# GGA-PBE CeMgSc2Pd4, optimized geometry
# ΔE_f	-0.756	eV per atom
# electronic total energy	-141.04	eV per cell
# magnetic moment	2.018	Bohr magnetons per cell
data_CeMgSc2Pd4
_chemical_formula_sum 'Ce3 Mg3 Sc6 Pd12'
_cell_length_a 4.6680
_cell_length_b 4.6680
_cell_length_c 24.3685
_cell_angle_alpha 90.00
_cell_angle_beta 90.00
_cell_angle_gamma 120.00
_symmetry_space_group_name_H-M 'R -3 m'
_symmetry_Int_Tables_number 166
_symmetry_space_group_name_Hall '-R 3 2"'
loop_
_atom_site_label
_atom_site_type_symbol
_atom_site_fract_x
_atom_site_fract_y
_atom_site_fract_z
_atom_site_occupancy
Ce1 Ce 0.0000 0.0000 0.0000 1
Mg1 Mg 0.0000 0.0000 0.5000 1
Sc1 Sc 0.0000 0.0000 0.2413 1
Pd1 Pd 0.0000 0.0000 0.1256 1
Pd2 Pd 0.0000 0.0000 0.3897 1



(4)
# GGA-PBE CeMgSi2Pd5, optimized geometry
# electronic total energy	-50.48	eV per cell
# magnetic moment	0.585	Bohr magnetons per cell
# ΔE_f (raw)	-0.682	eV/atom
data_CeMgSi2Pd5
_chemical_formula_sum 'Ce1 Mg1 Si2 Pd5'
_cell_length_a 4.193
_cell_length_b 4.193
_cell_length_c 8.866
_cell_angle_alpha 90.00
_cell_angle_beta 90.00
_cell_angle_gamma 90.00
_symmetry_space_group_name_H-M 'P 4/m m m'
_symmetry_Int_Tables_number 123
_symmetry_space_group_name_Hall '-P 4 2'
loop_
_atom_site_label
_atom_site_type_symbol
_atom_site_fract_x
_atom_site_fract_y
_atom_site_fract_z
_atom_site_occupancy
Ce1 Ce 0.000 0.000 0.000 1
Mg1 Mg 0.000 0.000 0.500 1
Si1 Si 0.500 0.500 0.372 1
Pd1 Pd 0.000 0.500 0.240 1
Pd2 Pd 0.500 0.500 0.000 1



(5)
# GGA-PBE CeMg2Si2Pd, optimized geometry
# electronic total energy	-50.61	eV per cell
# magnetic moment	2.317	Bohr magnetons per cell
# ΔE_f (raw)	-0.024	eV/atom
data_CeMg2Si2Pd
_chemical_formula_sum 'Ce2 Mg4 Si4 Pd2'
_cell_length_a 5.130
_cell_length_b 5.130
_cell_length_c 10.752
_cell_angle_alpha 90.00
_cell_angle_beta 90.00
_cell_angle_gamma 90.00
_symmetry_space_group_name_H-M 'I 4/m m m'
_symmetry_Int_Tables_number 139
_symmetry_space_group_name_Hall '-I 4 2'
loop_
_atom_site_label
_atom_site_type_symbol
_atom_site_fract_x
_atom_site_fract_y
_atom_site_fract_z
_atom_site_occupancy
Ce1 Ce 0.000 0.000 0.000 1
Mg1 Mg 0.000 0.500 0.250 1
Si1 Si 0.000 0.000 0.287 1
Pd1 Pd 0.000 0.000 0.500 1



(6)
# GGA-PBE Ce2MgSi3Pd4, optimized geometry
# electronic total energy	-58.68	eV per cell
# magnetic moment	1.463	Bohr magnetons per cell
# ΔE_f (raw)	-0.817	eV/atom
data_Ce2MgSi3Pd4
_chemical_formula_sum 'Ce2 Mg1 Si3 Pd4'
_cell_length_a 4.245
_cell_length_b 4.245
_cell_length_c 10.252
_cell_angle_alpha 90.00
_cell_angle_beta 90.00
_cell_angle_gamma 90.00
_symmetry_space_group_name_H-M 'P -4 m 2'
_symmetry_Int_Tables_number 115
_symmetry_space_group_name_Hall 'P -4 -2'
loop_
_atom_site_label
_atom_site_type_symbol
_atom_site_fract_x
_atom_site_fract_y
_atom_site_fract_z
_atom_site_occupancy
Ce1 Ce 0.000 0.500 0.244 1
Mg1 Mg 0.000 0.000 0.500 1
Si1 Si 0.000 0.500 0.874 1
Si2 Si 0.500 0.500 0.500 1
Pd1 Pd 0.000 0.000 0.000 1
Pd2 Pd 0.000 0.500 0.639 1
Pd3 Pd 0.500 0.500 0.000 1



(7)
# GGA-PBE CeSmMgPd, optimized geometry
# ΔE_f	-0.243	eV per atom
# electronic total energy	-73.65	eV per cell
# magnetic moment	3.330	Bohr magnetons per cell
data_CeSmMgPd
_chemical_formula_sum 'Ce4 Sm4 Mg4 Pd4'
_cell_length_a 7.404
_cell_length_b 7.404
_cell_length_c 7.404
_cell_angle_alpha 90.00
_cell_angle_beta 90.00
_cell_angle_gamma 90.00
_symmetry_space_group_name_H-M 'F -4 3 m'
_symmetry_Int_Tables_number 216
_symmetry_space_group_name_Hall 'F -4 2 3'
loop_
_atom_site_label
_atom_site_type_symbol
_atom_site_fract_x
_atom_site_fract_y
_atom_site_fract_z
_atom_site_occupancy
Ce1 Ce 0.000 0.000 0.000 1
Sm1 Sm 0.000 0.000 0.500 1
Mg1 Mg 0.250 0.250 0.250 1
Pd1 Pd 0.250 0.250 0.750 1



(8)
# GGA-PBE Ce2MgSn4Pd3, optimized geometry
# ΔE_f	-0.652	eV per atom
# electronic total energy	-51.57	eV per cell
# magnetic moment	1.551	Bohr magnetons per cell
data_Ce2MgSn4Pd3
_chemical_formula_sum 'Ce2 Mg1 Sn4 Pd3'
_cell_length_a 4.420
_cell_length_b 4.420
_cell_length_c 11.825
_cell_angle_alpha 90.00
_cell_angle_beta 90.00
_cell_angle_gamma 90.00
_symmetry_space_group_name_H-M 'P -4 m 2'
_symmetry_Int_Tables_number 115
_symmetry_space_group_name_Hall 'P -4 -2'
loop_
_atom_site_label
_atom_site_type_symbol
_atom_site_fract_x
_atom_site_fract_y
_atom_site_fract_z
_atom_site_occupancy
Ce1 Ce 0.000 0.500 0.246 1
Mg1 Mg 0.000 0.000 0.500 1
Sn1 Sn 0.000 0.000 0.000 1
Sn2 Sn 0.000 0.500 0.645 1
Sn3 Sn 0.500 0.500 0.000 1
Pd1 Pd 0.000 0.500 0.866 1
Pd2 Pd 0.500 0.500 0.500 1



(9)
# GGA-PBE Ce2MgSn3Pd4, optimized geometry
# ΔE_f	-0.704	eV per atom
# electronic total energy	-53.29	eV per cell
# magnetic moment	1.964	Bohr magnetons per cell
data_Ce2MgSn3Pd4
_chemical_formula_sum 'Ce2 Mg1 Sn3 Pd4'
_cell_length_a 4.545
_cell_length_b 4.545
_cell_length_c 10.797
_cell_angle_alpha 90.00
_cell_angle_beta 90.00
_cell_angle_gamma 90.00
_symmetry_space_group_name_H-M 'P -4 m 2'
_symmetry_Int_Tables_number 115
_symmetry_space_group_name_Hall 'P -4 -2'
loop_
_atom_site_label
_atom_site_type_symbol
_atom_site_fract_x
_atom_site_fract_y
_atom_site_fract_z
_atom_site_occupancy
Ce1 Ce 0.000 0.500 0.241 1
Mg1 Mg 0.000 0.000 0.500 1
Sn1 Sn 0.000 0.500 0.870 1
Sn2 Sn 0.500 0.500 0.500 1
Pd1 Pd 0.000 0.000 0.000 1
Pd2 Pd 0.000 0.500 0.630 1
Pd3 Pd 0.500 0.500 0.000 1



(10)
# GGA-PBE TbCeMgPd, optimized geometry
# ΔE_f	-0.266	eV per atom
# electronic total energy	-73.67	eV per cell
# magnetic moment	3.032	Bohr magnetons per cell
data_TbCeMgPd
_chemical_formula_sum 'Tb4 Ce4 Mg4 Pd4'
_cell_length_a 7.346
_cell_length_b 7.346
_cell_length_c 7.346
_cell_angle_alpha 90.00
_cell_angle_beta 90.00
_cell_angle_gamma 90.00
_symmetry_space_group_name_H-M 'F -4 3 m'
_symmetry_Int_Tables_number 216
_symmetry_space_group_name_Hall 'F -4 2 3'
loop_
_atom_site_label
_atom_site_type_symbol
_atom_site_fract_x
_atom_site_fract_y
_atom_site_fract_z
_atom_site_occupancy
Tb1 Tb 0.000 0.000 0.000 1
Ce1 Ce 0.000 0.000 0.500 1
Mg1 Mg 0.250 0.250 0.250 1
Pd1 Pd 0.250 0.250 0.750 1



(11)
# GGA-PBE CeTmMgPd, optimized geometry
# ΔE_f	-0.287	eV per atom
# electronic total energy	-73.36	eV per cell
# magnetic moment	2.808	Bohr magnetons per cell
data_CeTmMgPd
_chemical_formula_sum 'Ce4 Tm4 Mg4 Pd4'
_cell_length_a 7.283
_cell_length_b 7.283
_cell_length_c 7.283
_cell_angle_alpha 90.00
_cell_angle_beta 90.00
_cell_angle_gamma 90.00
_symmetry_space_group_name_H-M 'F -4 3 m'
_symmetry_Int_Tables_number 216
_symmetry_space_group_name_Hall 'F -4 2 3'
loop_
_atom_site_label
_atom_site_type_symbol
_atom_site_fract_x
_atom_site_fract_y
_atom_site_fract_z
_atom_site_occupancy
Ce1 Ce 0.000 0.000 0.000 1
Tm1 Tm 0.000 0.000 0.500 1
Mg1 Mg 0.250 0.250 0.750 1
Pd1 Pd 0.250 0.250 0.250 1



(12)
# GGA-PBE Ce2MgZn2Pd5, optimized geometry
# ΔE_f	-0.585	eV per atom
# electronic total energy	-95.64	eV per cell
# magnetic moment	3.260	Bohr magnetons per cell
data_Ce2MgZn2Pd5
_chemical_formula_sum 'Ce4 Mg2 Zn4 Pd10'
_cell_length_a 9.943
_cell_length_b 9.943
_cell_length_c 3.772
_cell_angle_alpha 90.00
_cell_angle_beta 90.00
_cell_angle_gamma 90.00
_symmetry_space_group_name_H-M 'P 4/m b m'
_symmetry_Int_Tables_number 127
_symmetry_space_group_name_Hall '-P 4 2ab'
loop_
_atom_site_label
_atom_site_type_symbol
_atom_site_fract_x
_atom_site_fract_y
_atom_site_fract_z
_atom_site_occupancy
Ce1 Ce 0.178 0.322 0.000 1
Mg1 Mg 0.000 0.000 0.000 1
Zn1 Zn 0.120 0.620 0.000 1
Pd1 Pd 0.000 0.500 0.500 1
Pd2 Pd 0.066 0.793 0.500 1



(13)
# GGA-PBE CeMgZn5Pd2, optimized geometry
# ΔE_f	-0.190	eV per atom
# electronic total energy	-26.00	eV per cell
# magnetic moment	1.032	Bohr magnetons per cell
data_CeMgZn5Pd2
_chemical_formula_sum 'Ce1 Mg1 Zn5 Pd2'
_cell_length_a 4.800
_cell_length_b 4.800
_cell_length_c 7.595
_cell_angle_alpha 90.00
_cell_angle_beta 90.00
_cell_angle_gamma 90.00
_symmetry_space_group_name_H-M 'P 4/m m m'
_symmetry_Int_Tables_number 123
_symmetry_space_group_name_Hall '-P 4 2'
loop_
_atom_site_label
_atom_site_type_symbol
_atom_site_fract_x
_atom_site_fract_y
_atom_site_fract_z
_atom_site_occupancy
Ce1 Ce 0.000 0.000 0.000 1
Mg1 Mg 0.000 0.000 0.500 1
Zn1 Zn 0.000 0.500 0.263 1
Zn2 Zn 0.500 0.500 0.000 1
Pd1 Pd 0.500 0.500 0.326 1



(14)
# GGA-PBE CeMg2ZnPd4, optimized geometry
# ΔE_f	-0.630	eV per atom
# electronic total energy	-108.62	eV per cell
# magnetic moment	2.265	Bohr magnetons per cell
data_CeMg2ZnPd4
_chemical_formula_sum 'Ce3 Mg6 Zn3 Pd12'
_cell_length_a 4.5225
_cell_length_b 4.5225
_cell_length_c 24.2057
_cell_angle_alpha 90.00
_cell_angle_beta 90.00
_cell_angle_gamma 120.00
_symmetry_space_group_name_H-M 'R -3 m'
_symmetry_Int_Tables_number 166
_symmetry_space_group_name_Hall '-R 3 2"'
loop_
_atom_site_label
_atom_site_type_symbol
_atom_site_fract_x
_atom_site_fract_y
_atom_site_fract_z
_atom_site_occupancy
Ce1 Ce 0.0000 0.0000 0.0000 1
Mg1 Mg 0.0000 0.0000 0.2386 1
Zn1 Zn 0.0000 0.0000 0.5000 1
Pd1 Pd 0.0000 0.0000 0.1270 1
Pd2 Pd 0.0000 0.0000 0.3939 1



(15)
# GGA-PBE CeMgZnPd, optimized geometry
# ΔE_f	-0.441	eV per atom
# electronic total energy	-63.04	eV per cell
# magnetic moment	2.415	Bohr magnetons per cell
data_CeMgZnPd
_chemical_formula_sum 'Ce4 Mg4 Zn4 Pd4'
_cell_length_a 6.897
_cell_length_b 6.897
_cell_length_c 6.897
_cell_angle_alpha 90.00
_cell_angle_beta 90.00
_cell_angle_gamma 90.00
_symmetry_space_group_name_H-M 'F -4 3 m'
_symmetry_Int_Tables_number 216
_symmetry_space_group_name_Hall 'F -4 2 3'
loop_
_atom_site_label
_atom_site_type_symbol
_atom_site_fract_x
_atom_site_fract_y
_atom_site_fract_z
_atom_site_occupancy
Ce1 Ce 0.000 0.000 0.000 1
Mg1 Mg 0.000 0.000 0.500 1
Zn1 Zn 0.250 0.250 0.250 1
Pd1 Pd 0.250 0.250 0.750 1



(16)
# GGA-PBE CeMgZn2Pd2, optimized geometry
# ΔE_f	-0.545	eV per atom
# electronic total energy	-23.73	eV per cell
# magnetic moment	0.907	Bohr magnetons per cell
data_CeMgZn2Pd2
_chemical_formula_sum 'Ce1 Mg1 Zn2 Pd2'
_cell_length_a 4.4464
_cell_length_b 4.4464
_cell_length_c 6.7010
_cell_angle_alpha 90.00
_cell_angle_beta 90.00
_cell_angle_gamma 120.00
_symmetry_space_group_name_H-M 'P -3 m 1'
_symmetry_Int_Tables_number 164
_symmetry_space_group_name_Hall '-P 3 2"'
loop_
_atom_site_label
_atom_site_type_symbol
_atom_site_fract_x
_atom_site_fract_y
_atom_site_fract_z
_atom_site_occupancy
Ce1 Ce 0.0000 0.0000 0.0000 1
Mg1 Mg 0.0000 0.0000 0.5000 1
Zn1 Zn 0.3333 0.6667 0.6979 1
Pd1 Pd 0.3333 0.6667 0.2874 1



(17)
# GGA-PBE CePm5Mg4, optimized geometry
# ΔE_f	-0.047	eV per atom
# electronic total energy	-36.53	eV per cell
# magnetic moment	0.713	Bohr magnetons per cell
data_CePm5Mg4
_chemical_formula_sum 'Ce1 Pm5 Mg4'
_cell_length_a 3.774
_cell_length_b 3.774
_cell_length_c 20.705
_cell_angle_alpha 90.00
_cell_angle_beta 90.00
_cell_angle_gamma 90.00
_symmetry_space_group_name_H-M 'P 4/m m m'
_symmetry_Int_Tables_number 123
_symmetry_space_group_name_Hall '-P 4 2'
loop_
_atom_site_label
_atom_site_type_symbol
_atom_site_fract_x
_atom_site_fract_y
_atom_site_fract_z
_atom_site_occupancy
Ce1 Ce 0.000 0.000 0.000 1
Pm1 Pm 0.500 0.500 0.112 1
Pm2 Pm 0.500 0.500 0.310 1
Pm3 Pm 0.500 0.500 0.500 1
Mg1 Mg 0.000 0.000 0.211 1
Mg2 Mg 0.000 0.000 0.405 1



(18)
# GGA-PBE CePm4Mg3, optimized geometry
# ΔE_f	-0.041	eV per atom
# electronic total energy	-30.05	eV per cell
# magnetic moment	0.577	Bohr magnetons per cell
data_CePm4Mg3
_chemical_formula_sum 'Ce1 Pm4 Mg3'
_cell_length_a 3.747
_cell_length_b 3.747
_cell_length_c 16.874
_cell_angle_alpha 90.00
_cell_angle_beta 90.00
_cell_angle_gamma 90.00
_symmetry_space_group_name_H-M 'P 4/m m m'
_symmetry_Int_Tables_number 123
_symmetry_space_group_name_Hall '-P 4 2'
loop_
_atom_site_label
_atom_site_type_symbol
_atom_site_fract_x
_atom_site_fract_y
_atom_site_fract_z
_atom_site_occupancy
Ce1 Ce 0.000 0.000 0.000 1
Pm1 Pm 0.500 0.500 0.138 1
Pm2 Pm 0.500 0.500 0.383 1
Mg1 Mg 0.000 0.000 0.261 1
Mg2 Mg 0.000 0.000 0.500 1



(19)
# GGA-PBE CePmMg, optimized geometry
# ΔE_f	0.043	eV per atom
# electronic total energy	-24.30	eV per cell
# magnetic moment	2.001	Bohr magnetons per cell
data_CePmMg
_chemical_formula_sum 'Ce2 Pm2 Mg2'
_cell_length_a 3.421
_cell_length_b 3.421
_cell_length_c 15.093
_cell_angle_alpha 90.00
_cell_angle_beta 90.00
_cell_angle_gamma 90.00
_symmetry_space_group_name_H-M 'I 4 m m'
_symmetry_Int_Tables_number 107
_symmetry_space_group_name_Hall 'I 4 -2'
loop_
_atom_site_label
_atom_site_type_symbol
_atom_site_fract_x
_atom_site_fract_y
_atom_site_fract_z
_atom_site_occupancy
Ce1 Ce 0.000 0.000 0.000 1
Pm1 Pm 0.000 0.000 0.323 1
Mg1 Mg 0.000 0.000 0.661 1



(20)
# GGA-PBE CePmMg2, optimized geometry
# ΔE_f	0.070	eV per atom
# electronic total energy	-40.78	eV per cell
# magnetic moment	2.172	Bohr magnetons per cell
data_CePmMg2
_chemical_formula_sum 'Ce3 Pm3 Mg6'
_cell_length_a 3.2939
_cell_length_b 3.2939
_cell_length_c 35.1135
_cell_angle_alpha 90.00
_cell_angle_beta 90.00
_cell_angle_gamma 120.00
_symmetry_space_group_name_H-M 'R -3 m'
_symmetry_Int_Tables_number 166
_symmetry_space_group_name_Hall '-R 3 2"'
loop_
_atom_site_label
_atom_site_type_symbol
_atom_site_fract_x
_atom_site_fract_y
_atom_site_fract_z
_atom_site_occupancy
Ce1 Ce 0.0000 0.0000 0.0000 1
Pm1 Pm 0.0000 0.0000 0.5000 1
Mg1 Mg 0.0000 0.0000 0.2505 1